Tm2CoO5 | GGA+U | relaxed

abc: 3.6421 10.1605 11.1020
angles: 90.00 90.00 90.00
Sites, in units of the cell vectors:
Tm: 0.2500 0.6373 0.0556
Tm: 0.7500 0.3627 0.9444
Tm: 0.7500 0.8627 0.5556
Tm: 0.2500 0.1373 0.4444
Tm: 0.2500 0.1091 0.7767
Tm: 0.7500 0.8909 0.2233
Tm: 0.7500 0.3909 0.2767
Tm: 0.2500 0.6091 0.7233
Co: 0.7500 0.8207 0.8792
Co: 0.2500 0.1793 0.1208
Co: 0.2500 0.6793 0.3792
Co: 0.7500 0.3207 0.6208
O: 0.2500 0.7577 0.8817
O: 0.7500 0.2423 0.1183
O: 0.7500 0.7423 0.3817
O: 0.2500 0.2577 0.6183
O: 0.2500 0.5114 0.3385
O: 0.7500 0.4886 0.6615
O: 0.7500 0.9886 0.8385
O: 0.2500 0.0114 0.1615
O: 0.2500 0.7206 0.5415
O: 0.7500 0.2794 0.4585
O: 0.7500 0.7794 0.0415
O: 0.2500 0.2206 0.9585
O: 0.7500 0.7407 0.7274
O: 0.2500 0.2593 0.2726
O: 0.2500 0.7593 0.2274
O: 0.7500 0.2407 0.7726
O: 0.2500 0.9901 0.6039
O: 0.7500 0.0099 0.3961
O: 0.7500 0.5099 0.1039
O: 0.2500 0.4901 0.8961

Computed properties:
- Symmetry: Pnma (62)
- DOS at the Fermi energy: 0.9 states/eV/f.u.
- Energy: -7.40 eV/atom
- Magnetization: 3.0 μB/f.u.